Entry 1:
Entry from Alexandria via LeMat-Bulk: a geometry-optimized ReB2Se structure (PBE-GGA).

For the uncorrected formation energy, the calculation gives 0.7608 eV/atom.

a = 4.984 Å, b = 4.984 Å, c = 5.885 Å
α = 64.95°, β = 64.95°, γ = 90.00°
Positions (direct):
B 0.635 0.125 0.250
Re 0.000 0.000 0.000
B 0.375 0.365 0.750
Se 0.500 0.500 0.000
Re 0.750 0.250 0.500
B 0.875 0.885 0.750
Se 0.250 0.750 0.500
B 0.115 0.625 0.250

=====

Entry 2:
Entry from Alexandria via LeMat-Bulk: a geometry-optimized Cs4HgAu3 structure (PBE-GGA).

The value obtained for the calculated total energy is -2.01 eV/atom.

a = 5.171 Å, b = 5.122 Å, c = 13.256 Å
α = 90.00°, β = 90.00°, γ = 90.00°
Positions (direct):
Cs 0.000 0.000 0.147
Cs 0.500 0.000 0.635
Hg 0.500 0.500 0.059
Au 0.000 0.500 0.565
Au 0.000 0.000 0.437
Cs 0.000 0.500 0.846
Au 0.500 0.000 0.939
Cs 0.500 0.500 0.372

=====

Entry 3:
Entry from Alexandria via LeMat-Bulk: a geometry-optimized TlZnW structure (PBE-GGA).

The value obtained for the calculated total energy is -4.81 eV/atom.

a = 7.483 Å, b = 7.483 Å, c = 7.483 Å
α = 157.96°, β = 157.96°, γ = 31.37°
Positions (direct):
W 0.318 0.318 0.000
Zn 0.689 0.689 0.000
Tl 0.993 0.993 0.000

=====

Entry 4:
Entry from Alexandria via LeMat-Bulk: a geometry-optimized CsGe2Pd2 structure (PBE-GGA).

The value obtained for the calculated total energy is -4.46 eV/atom.

a = 4.470 Å, b = 4.470 Å, c = 7.387 Å
α = 100.88°, β = 100.88°, γ = 102.26°
Positions (direct):
Ge 0.370 0.370 0.653
Ge 0.630 0.630 0.347
Pd 0.789 0.211 0.500
Cs 0.000 0.000 0.000
Pd 0.211 0.789 0.500

=====

Entry 5:
Entry from Alexandria via LeMat-Bulk: a geometry-optimized NbGaMoOs structure (PBE-GGA).

The value obtained for the calculated total energy is -8.86 eV/atom.

a = 4.464 Å, b = 4.464 Å, c = 4.464 Å
α = 60.00°, β = 60.00°, γ = 60.00°
Positions (direct):
Nb 0.750 0.750 0.750
Mo 0.500 0.500 0.500
Os 0.000 0.000 0.000
Ga 0.250 0.250 0.250

=====

Entry 6:
Entry from Alexandria via LeMat-Bulk: a geometry-optimized Na4DyEr3S8 structure (PBE-GGA).

For the uncorrected formation energy, the calculation gives -1.8533 eV/atom.

a = 7.917 Å, b = 8.092 Å, c = 7.917 Å
α = 119.31°, β = 120.00°, γ = 90.00°
Positions (direct):
Er 0.000 0.500 0.500
S 0.243 0.726 0.486
S 0.757 0.274 0.017
Dy 0.000 0.500 0.000
S 0.260 0.274 0.017
S 0.258 0.275 0.517
Na 0.000 0.000 0.000
Na 0.500 0.000 0.000
S 0.757 0.274 0.514
Er 0.500 0.500 0.000
S 0.740 0.726 0.983
Er 0.500 0.500 0.500
S 0.243 0.726 0.983
Na 0.000 0.000 0.500
S 0.742 0.725 0.483
Na 0.500 0.000 0.500

=====

Entry 7:
Entry from Alexandria via LeMat-Bulk: a geometry-optimized Rb2PaPdS4 structure (PBE-GGA).

For the uncorrected formation energy, the calculation gives -1.0152 eV/atom.

a = 6.823 Å, b = 6.823 Å, c = 6.823 Å
α = 103.78°, β = 112.39°, γ = 112.39°
Positions (direct):
Rb 0.000 0.000 0.000
S 0.114 0.266 0.685
S 0.581 0.315 0.429
Rb 0.500 0.750 0.250
S 0.886 0.571 0.152
Pa 0.500 0.250 0.750
Pd 0.000 0.500 0.500
S 0.419 0.848 0.734

=====

Entry 8:
Entry from Alexandria via LeMat-Bulk: a geometry-optimized BaCr2Cd structure (PBE-GGA).

The value obtained for the calculated total energy is -4.69 eV/atom.

a = 5.384 Å, b = 5.384 Å, c = 5.384 Å
α = 60.00°, β = 60.00°, γ = 60.00°
Positions (direct):
Cd 0.750 0.750 0.750
Cr 0.250 0.250 0.250
Cr 0.000 0.000 0.000
Ba 0.500 0.500 0.500